# 1
MnF3: optimized geometry, PBEsol.

a b c (Å): 12.213 12.213 3.817
angles (deg): 90.00 90.00 90.00
Space group P4/mbm (No. 127)
Asymmetric unit:
Mn: 0.000 0.500 0.000 x2
Mn: 0.077 0.207 0.000 x8
F: 0.000 0.500 0.500 x2
F: 0.002 0.345 0.000 x8
F: 0.066 0.858 0.000 x8
F: 0.078 0.208 0.500 x8
F: 0.215 0.285 0.000 x4

DOS at the Fermi energy = 7.1 states/eV/cell
Raw total energy = -6.29 eV per atom
E_form (uncorrected) = -2.4000 eV/atom



# 2
CaLaS2Cl: optimized geometry, PBEsol.

a b c (Å): 5.469 5.469 5.297
angles (deg): 90.00 90.00 90.00
Space group P4/mmm (No. 123)
Asymmetric unit:
Ca: 0.000 0.000 0.000 x1
La: 0.500 0.500 0.500 x1
S: 0.000 0.500 0.500 x2
Cl: 0.500 0.500 0.000 x1

Raw total energy = -5.20 eV per atom
E_form (uncorrected) = -1.5532 eV/atom



# 3
Cd2FeHg: optimized geometry, PBEsol.

a b c (Å): 5.683 9.421 2.865
angles (deg): 90.00 110.27 90.00
Space group C2/m (No. 12)
Asymmetric unit:
Cd: 0.250 0.250 0.000 x4
Fe: 0.000 0.000 0.500 x2
Hg: 0.000 0.500 0.500 x2

DOS at the Fermi energy = 3.6 states/eV/cell
Formation energy from the elements = 1.27 eV per formula unit
Raw total energy = -2.66 eV per atom



# 4
RuO2F6: optimized geometry, PBEsol.

a b c (Å): 10.333 10.333 10.333
angles (deg): 90.00 90.00 90.00
Space group Ia-3 (No. 206)
Asymmetric unit:
Ru: 0.250 0.250 0.250 x8
O: 0.033 0.033 0.033 x16
F: 0.108 0.157 0.306 x48

DOS at the Fermi energy = 93.6 states/eV/cell
Raw total energy = -4.83 eV per atom
E_form (uncorrected) = -1.2434 eV/atom



# 5
MnCrF3: optimized geometry, PBEsol.

a b c (Å): 4.078 4.078 4.078
angles (deg): 90.00 90.00 90.00
Space group Pm-3m (No. 221)
Asymmetric unit:
Mn: 0.000 0.000 0.000 x1
Cr: 0.500 0.500 0.500 x1
F: 0.000 0.500 0.500 x3

DOS at the Fermi energy = 3.8 states/eV/cell
Raw total energy = -6.49 eV per atom
E_form (uncorrected) = -1.3302 eV/atom



# 6
ErCuW2O8: optimized geometry, PBEsol.

a b c (Å): 4.999 5.962 5.983
angles (deg): 109.48 113.94 91.53
Space group P-1 (No. 2)
Asymmetric unit:
Er: 0.000 0.000 0.000 x1
Cu: 0.500 0.500 0.000 x1
W: 0.245 0.672 0.483 x2
O: 0.003 0.788 0.249 x2
O: 0.031 0.671 0.695 x2
O: 0.460 0.525 0.296 x2
O: 0.485 0.066 0.260 x2

Raw total energy = -8.82 eV per atom
E_form (uncorrected) = -2.2476 eV/atom
E above lowest polymorph = 13 meV per atom



# 7
Be2TlZn: optimized geometry, PBEsol.

a b c (Å): 3.322 3.622 4.900
angles (deg): 90.00 90.00 90.00
Space group Pmm2 (No. 25)
Asymmetric unit:
Be: 0.000 0.000 0.000 x1
Be: 0.500 0.500 0.249 x1
Tl: 0.000 0.000 0.491 x1
Zn: 0.500 0.500 0.793 x1

DOS at the Fermi energy = 1.1 states/eV/cell
Formation energy from the elements = 2.14 eV per formula unit
Raw total energy = -2.52 eV per atom
E above lowest polymorph = 16 meV per atom



# 8
CoAsP2: optimized geometry, PBEsol.

a b c (Å): 3.959 3.629 4.126
angles (deg): 90.00 109.08 90.00
Space group P2/m (No. 10)
Asymmetric unit:
Co: 0.000 0.000 0.000 x1
As: 0.500 0.000 0.500 x1
P: 0.219 0.500 0.818 x2

DOS at the Fermi energy = 2.0 states/eV/cell
Formation energy from the elements = -0.37 eV per formula unit
Raw total energy = -6.20 eV per atom



> What is the formula in the first record?

MnF3



> Look up the raw total energy of the fourth one.

-4.83 eV per atom